# CsRbAuBr2

A relaxed structure of CsRbAuBr2 (GGA-PBE, the Alexandria database).

Cell: 6.492 6.492 6.012 Å, 90.00 90.00 90.00°
Sites, in units of the cell vectors:
Cs  0.000  0.000  0.000
Rb  0.500  0.500  0.500
Au  0.500  0.500  0.000
Br  0.000  0.500  0.500
Br  0.500  0.000  0.500

Calculated values
- Space-group type: No. 123
- Final energy: -2.3681 eV/atom